(1)
A relaxed structure of SrTl2Ni2. Source: Alexandria via LeMat-Bulk, functional PBE.

It has space group I4/mmm (No. 139), with a = 4.600 Å, b = 4.600 Å, c = 10.673 Å, α = 90.00°, β = 90.00° and γ = 90.00°. Symmetry generates all atoms from Sr at (0.000, 0.000, 0.000), Tl at (0.000, 0.500, 0.250) and Ni at (0.000, 0.000, 0.392).

The value obtained for the formation energy is -0.009 eV/atom. Its energy above the lowest structure with this stoichiometry is 0.000 eV/atom.

---

(2)
A relaxed structure of SrGaH3. Source: Alexandria via LeMat-Bulk, functional PBE.

It has space group Imm2 (No. 44), with a = 5.622 Å, b = 11.581 Å, c = 4.419 Å, α = 90.00°, β = 90.00° and γ = 90.00°. Symmetry generates all atoms from Sr at (0.000, 0.169, 0.000), Ga at (0.228, 0.500, 0.010), H at (0.221, 0.165, 0.508) and H at (0.245, 0.000, 0.126).

Its energy above the lowest structure with this stoichiometry is 0.000 eV/atom.

---

(3)
A relaxed structure of K2LiIn3Bi4. Source: Alexandria via LeMat-Bulk, functional PBE.

It has space group P-4m2 (No. 115), with a = 5.025 Å, b = 5.025 Å, c = 13.790 Å, α = 90.00°, β = 90.00° and γ = 90.00°. Symmetry generates all atoms from K at (0.000, 0.500, 0.232), Li at (0.500, 0.500, 0.000), In at (0.000, 0.000, 0.000), In at (0.000, 0.500, 0.646), Bi at (0.000, 0.000, 0.500), Bi at (0.000, 0.500, 0.873) and Bi at (0.500, 0.500, 0.500).

The value obtained for the formation energy is -0.226 eV/atom.

---

(4)
A relaxed structure of Ca2PtPb2. Source: Alexandria via LeMat-Bulk, functional PBE.

It has space group I4/mmm (No. 139), with a = 4.168 Å, b = 4.168 Å, c = 17.568 Å, α = 90.00°, β = 90.00° and γ = 90.00°. Symmetry generates all atoms from Ca at (0.000, 0.000, 0.091), Pt at (0.000, 0.000, 0.500) and Pb at (0.000, 0.500, 0.250).

The value obtained for the formation energy is -0.151 eV/atom. Its energy above the lowest structure with this stoichiometry is 0.436 eV/atom.

---

(5)
A relaxed structure of AlCu3Au3. Source: Alexandria via LeMat-Bulk, functional PBE.

It has space group P6_3/m (No. 176), with a = 9.5669 Å, b = 9.5669 Å, c = 4.0163 Å, α = 90.00°, β = 90.00° and γ = 120.00°. Symmetry generates all atoms from Al at (0.3333, 0.6667, 0.2500), Cu at (0.0357, 0.5782, 0.2500) and Au at (0.2014, 0.7521, 0.7500).

The value obtained for the formation energy is 0.219 eV/atom. Its energy above the lowest structure with this stoichiometry is 0.299 eV/atom.

---

(6)
A relaxed structure of CaIn2BiSe. Source: Alexandria via LeMat-Bulk, functional PBE.

It has space group P4/mmm (No. 123), with a = 6.000 Å, b = 6.000 Å, c = 5.199 Å, α = 90.00°, β = 90.00° and γ = 90.00°. Symmetry generates all atoms from Ca at (0.000, 0.000, 0.000), In at (0.000, 0.500, 0.000), Bi at (0.500, 0.500, 0.500) and Se at (0.000, 0.000, 0.500).

As for the energy relative to the elements, uncorrected: 23.50 kJ/mol of atoms.